First-principles (PBE) data for an optimized crystal structure of Li3Mg2Cd4, as listed in the Alexandria database. Values from VASP.

Results
As for the volume: 19.9 A^3/atom. The energy of formation is -163.7 kJ/mol of formula units. The calculation puts the uncorrected energy at -1.588 eV/atom. The calculation puts the relative energy among the computed polymorphs at 0.00 eV/f.u. As for the density of states at the Fermi level: 1.7 states/eV/cell. Its space group is P-1 (2). For the total magnetic moment, the calculation gives 0.0 μB per cell.

```
&SYSTEM
  ibrav = 0, nat = 9, ntyp = 3
/
ATOMIC_SPECIES
Cd 112.41 Cd.upf
Li 6.94 Li.upf
Mg 24.30 Mg.upf
ATOMIC_POSITIONS crystal
Cd 0.663 0.673 0.887
Li 0.339 0.321 0.438
Li 0.661 0.679 0.562
Cd 0.337 0.327 0.113
Cd 0.014 0.972 0.340
Mg 0.674 0.653 0.226
Cd 0.986 0.028 0.660
Li 0.000 0.000 0.000
Mg 0.326 0.347 0.774
CELL_PARAMETERS angstrom
4.574 0.001 0.001
2.287 4.512 0.728
-0.002 0.912 8.820
```

***

First-principles (PBE) data for an optimized crystal structure of Li5MgCd, as listed in the Alexandria database. Values from VASP.

Results
As for the volume: 20.0 A^3/atom. The energy of formation is -28.1 kJ/mol of formula units. The calculation puts the uncorrected energy at -1.767 eV/atom. The calculation puts the relative energy among the computed polymorphs at 0.00 eV/f.u. As for the density of states at the Fermi level: 4.9 states/eV/cell. Its space group is C2/c (15). For the total magnetic moment, the calculation gives 0.0 μB per cell.

```
&SYSTEM
  ibrav = 0, nat = 14, ntyp = 3
/
ATOMIC_SPECIES
Li 6.94 Li.upf
Cd 112.41 Cd.upf
Mg 24.30 Mg.upf
ATOMIC_POSITIONS crystal
Li 0.417 0.269 0.548
Li 0.122 0.373 0.332
Li 0.269 0.417 0.048
Cd 0.000 0.000 0.000
Li 0.373 0.122 0.832
Li 0.176 0.824 0.250
Mg 0.690 0.310 0.250
Mg 0.310 0.690 0.750
Li 0.583 0.731 0.452
Li 0.878 0.627 0.668
Li 0.824 0.176 0.750
Li 0.731 0.583 0.952
Li 0.627 0.878 0.168
Cd 0.000 0.000 0.500
CELL_PARAMETERS angstrom
-0.345 4.191 -3.693
-1.311 -1.327 -5.277
-10.132 1.696 0.276
```

***

First-principles (PBE) data for an optimized crystal structure of LiMg4Cd2, as listed in the Alexandria database. Values from VASP.

Results
As for the volume: 23.7 A^3/atom. The energy of formation is 56.8 kJ/mol of formula units. The calculation puts the uncorrected energy at -1.362 eV/atom. The calculation puts the relative energy among the computed polymorphs at 0.74 eV/f.u. As for the density of states at the Fermi level: 2.7 states/eV/cell. Its space group is C2/m (12). For the total magnetic moment, the calculation gives 0.0 μB per cell.

```
&SYSTEM
  ibrav = 0, nat = 7, ntyp = 3
/
ATOMIC_SPECIES
Cd 112.41 Cd.upf
Mg 24.30 Mg.upf
Li 6.94 Li.upf
ATOMIC_POSITIONS crystal
Cd 0.368 0.368 0.737
Mg 0.000 0.500 0.000
Li 0.000 0.000 0.000
Mg 0.750 0.250 0.500
Mg 0.500 0.000 0.000
Cd 0.632 0.632 0.263
Mg 0.250 0.750 0.500
CELL_PARAMETERS angstrom
5.072 1.074 -1.898
0.607 5.149 -1.898
-1.171 -1.283 7.291
```

***

First-principles (PBE) data for an optimized crystal structure of LiMg2Cd4, as listed in the Alexandria database. Values from VASP.

Results
As for the volume: 21.8 A^3/atom. The energy of formation is -64.2 kJ/mol of formula units. The calculation puts the uncorrected energy at -1.347 eV/atom. The calculation puts the relative energy among the computed polymorphs at 0.00 eV/f.u. As for the density of states at the Fermi level: 2.6 states/eV/cell. Its space group is I4/mmm (139). For the total magnetic moment, the calculation gives 0.0 μB per cell.

```
&SYSTEM
  ibrav = 0, nat = 7, ntyp = 3
/
ATOMIC_SPECIES
Li 6.94 Li.upf
Mg 24.30 Mg.upf
Cd 112.41 Cd.upf
ATOMIC_POSITIONS crystal
Li 0.000 0.000 0.000
Mg 0.248 0.248 0.495
Cd 0.608 0.108 0.216
Cd 0.392 0.892 0.784
Mg 0.752 0.752 0.505
Cd 0.108 0.608 0.216
Cd 0.892 0.392 0.784
CELL_PARAMETERS angstrom
4.472 0.000 -1.425
-0.454 4.448 -1.425
-0.014 -0.016 7.682
```

***

First-principles (PBE) data for an optimized crystal structure of Li5MgCd6, as listed in the Alexandria database. Values from VASP.

Results
As for the volume: 18.9 A^3/atom. The energy of formation is -272.4 kJ/mol of formula units. The calculation puts the uncorrected energy at -1.623 eV/atom. The calculation puts the relative energy among the computed polymorphs at 0.03 eV/f.u. As for the density of states at the Fermi level: 3.6 states/eV/cell. Its space group is C2/m (12). For the total magnetic moment, the calculation gives 0.0 μB per cell.

```
&SYSTEM
  ibrav = 0, nat = 12, ntyp = 3
/
ATOMIC_SPECIES
Li 6.94 Li.upf
Cd 112.41 Cd.upf
Mg 24.30 Mg.upf
ATOMIC_POSITIONS crystal
Li 0.500 0.834 0.333
Cd 0.745 0.083 0.344
Mg 0.000 0.000 0.000
Cd 0.267 0.233 0.000
Cd 0.255 0.572 0.344
Cd 0.733 0.767 0.000
Li 0.500 0.500 0.000
Cd 0.745 0.428 0.656
Li 0.500 0.166 0.667
Li 0.000 0.338 0.324
Li 0.000 0.662 0.676
Cd 0.255 0.917 0.656
CELL_PARAMETERS angstrom
-6.903 -4.431 1.593
-2.438 -2.208 -3.262
2.699 -6.858 -0.663
```

***

First-principles (PBE) data for an optimized crystal structure of Li4MgCd2, as listed in the Alexandria database. Values from VASP.

Results
As for the volume: 20.5 A^3/atom. The energy of formation is -62.8 kJ/mol of formula units. The calculation puts the uncorrected energy at -1.676 eV/atom. The calculation puts the relative energy among the computed polymorphs at 0.00 eV/f.u. As for the density of states at the Fermi level: 3.0 states/eV/cell. Its space group is C2/m (12). For the total magnetic moment, the calculation gives 0.0 μB per cell.

```
&SYSTEM
  ibrav = 0, nat = 7, ntyp = 3
/
ATOMIC_SPECIES
Li 6.94 Li.upf
Mg 24.30 Mg.upf
Cd 112.41 Cd.upf
ATOMIC_POSITIONS crystal
Li 0.357 0.599 0.715
Li 0.083 0.703 0.166
Mg 0.000 0.000 0.000
Cd 0.775 0.839 0.549
Li 0.917 0.297 0.834
Li 0.643 0.401 0.285
Cd 0.225 0.161 0.451
CELL_PARAMETERS angstrom
2.996 0.000 0.000
0.000 7.374 0.139
-1.498 -3.460 6.430
```